# 1
First-principles (GGA-PBE) data for a geometry-optimized Y2ZnPtC structure, as listed in the Alexandria database.

DOS at the Fermi energy ... 3.704 states/eV/f.u.
V ... 99 Å³/f.u.
Raw total energy ... -6.36 eV per atom
Energy of formation ... -0.46 eV per atom
E above lowest polymorph ... 0.17 eV/f.u.
Symmetry ... P4/mmm

abc: 5.004 5.004 3.941
angles: 90.00 90.00 90.00
Atoms (fractional coordinates):
Y1 0.000 0.500 0.000
Y2 0.500 0.000 0.000
Zn1 0.500 0.500 0.500
C1 0.000 0.000 0.000
Pt1 0.000 0.000 0.500



# 2
First-principles (GGA-PBE) data for a geometry-optimized BeAsW2C structure, as listed in the Alexandria database.

DOS at the Fermi energy ... 4.395 states/eV/f.u.
V ... 83 Å³/f.u.
Raw total energy ... -6.36 eV per atom
Energy of formation ... 2.34 eV per atom
Symmetry ... P4/mmm

abc: 4.719 3.745 4.719
angles: 90.00 90.00 90.00
Atoms (fractional coordinates):
Be1 0.500 0.500 0.500
As1 0.000 0.000 0.000
C1 0.000 0.500 0.000
W1 0.000 0.000 0.500
W2 0.500 0.000 0.000



# 3
First-principles (GGA-PBE) data for a geometry-optimized FeReSnN2 structure, as listed in the Alexandria database.

Uncorrected formation energy ... 2.557 eV/atom
DOS at the Fermi energy ... 8.133 states/eV/f.u.
V ... 77 Å³/f.u.
Raw total energy ... -5.76 eV per atom
Symmetry ... P4/mmm

abc: 3.977 4.900 3.977
angles: 90.00 90.00 90.00
Each line ends with the local moment (μB).
Atoms (fractional coordinates):
Re1 0.500 0.500 0.500  2.08
N1 0.000 0.000 0.500  -0.16
N2 0.500 0.000 0.000  -0.19
Sn1 0.000 0.000 0.000  0.01
Fe1 0.000 0.500 0.000  0.26



# 4
First-principles (GGA-PBE) data for a geometry-optimized LiPr2MgHg4 structure, as listed in the Alexandria database.

DOS at the Fermi energy ... 3.271 states/eV/f.u.
V ... 197 Å³/f.u.
Raw total energy ... -2.26 eV per atom
Energy of formation ... -0.47 eV per atom
Symmetry ... R-3m

abc: 5.192 5.192 8.970
angles: 73.18 73.18 60.00
Atoms (fractional coordinates):
Li1 0.500 0.500 0.500
Pr1 0.749 0.749 0.753
Pr2 0.251 0.251 0.247
Mg1 0.000 0.000 0.000
Hg1 0.377 0.377 0.868
Hg2 0.873 0.873 0.380
Hg3 0.127 0.127 0.620
Hg4 0.623 0.623 0.132



# 5
First-principles (GGA-PBE) data for a geometry-optimized Cd6AsP2I2 structure, as listed in the Alexandria database.

Uncorrected formation energy ... -0.110 eV/atom
DOS at the Fermi energy ... 2.485 states/eV/f.u.
V ... 322 Å³/f.u.
Raw total energy ... -2.30 eV per atom
Symmetry ... C2/m

abc: 7.223 8.300 11.226
angles: 139.72 90.00 115.79
Atoms (fractional coordinates):
Cd1 0.808 0.616 0.953
Cd2 0.415 0.325 0.535
Cd3 0.090 0.675 0.465
Cd4 0.585 0.675 0.465
Cd5 0.910 0.325 0.535
Cd6 0.192 0.384 0.047
As1 0.500 0.000 0.500
P1 0.878 0.756 0.673
P2 0.122 0.244 0.327
I1 0.692 0.383 0.085
I2 0.308 0.617 0.915



# 6
First-principles (GGA-PBE) data for a geometry-optimized CaTaPb2 structure, as listed in the Alexandria database.

DOS at the Fermi energy ... 3.967 states/eV/f.u.
V ... 122 Å³/f.u.
Raw total energy ... -4.64 eV per atom
Energy of formation ... 0.68 eV per atom
Symmetry ... I-42d

abc: 4.900 4.900 10.701
angles: 76.76 76.76 90.00
Each line ends with the local moment (μB).
Atoms (fractional coordinates):
Pb1 0.682 0.125 0.250  -0.03
Pb2 0.068 0.625 0.250  -0.02
Pb3 0.375 0.318 0.750  -0.01
Pb4 0.875 0.932 0.750  -0.01
Ca1 0.500 0.500 0.000  0.05
Ca2 0.250 0.750 0.500  0.05
Ta1 0.000 0.000 0.000  0.79
Ta2 0.750 0.250 0.500  0.79



# 7
First-principles (GGA-PBE) data for a geometry-optimized SrMg2HgW structure, as listed in the Alexandria database.

DOS at the Fermi energy ... 3.402 states/eV/f.u.
V ... 161 Å³/f.u.
Raw total energy ... -2.49 eV per atom
Energy of formation ... 1.14 eV per atom
E above lowest polymorph ... 0.00 eV/f.u.
Symmetry ... P4/mmm

abc: 5.197 5.957 5.197
angles: 90.00 90.00 90.00
Each line ends with the local moment (μB).
Atoms (fractional coordinates):
Sr1 0.000 0.500 0.000  0.01
Mg1 0.000 0.000 0.500  -0.02
Mg2 0.500 0.000 0.000  0.00
Hg1 0.000 0.000 0.000  -0.05
W1 0.500 0.500 0.500  3.06



# 8
First-principles (GGA-PBE) data for a geometry-optimized Cd3In12Hg structure, as listed in the Alexandria database.

DOS at the Fermi energy ... 5.391 states/eV/f.u.
V ... 418 Å³/f.u.
Raw total energy ... -2.23 eV per atom
Energy of formation ... 0.02 eV per atom
Symmetry ... P4/mmm

abc: 4.750 4.750 18.524
angles: 90.00 90.00 90.00
Atoms (fractional coordinates):
Cd1 0.000 0.000 0.251
Cd2 0.000 0.000 0.500
Cd3 0.000 0.000 0.749
In1 0.500 0.500 0.000
In2 0.500 0.500 0.252
In3 0.500 0.500 0.500
In4 0.500 0.500 0.748
In5 0.500 0.000 0.127
In6 0.500 0.000 0.376
In7 0.500 0.000 0.624
In8 0.500 0.000 0.873
In9 0.000 0.500 0.127
In10 0.000 0.500 0.376
In11 0.000 0.500 0.624
In12 0.000 0.500 0.873
Hg1 0.000 0.000 0.000



# 9
First-principles (GGA-PBE) data for a geometry-optimized PmHoCdBi structure, as listed in the Alexandria database.

DOS at the Fermi energy ... 3.916 states/eV/f.u.
V ... 114 Å³/f.u.
Raw total energy ... -3.96 eV per atom
Energy of formation ... -0.43 eV per atom
Symmetry ... F-43m

abc: 5.436 5.436 5.436
angles: 60.00 60.00 60.00
Atoms (fractional coordinates):
Cd1 0.250 0.250 0.250
Pm1 0.000 0.000 0.000
Bi1 0.750 0.750 0.750
Ho1 0.500 0.500 0.500



# 10
First-principles (GGA-PBE) data for a geometry-optimized BTeIN2 structure, as listed in the Alexandria database.

Uncorrected formation energy ... 2.007 eV/atom
DOS at the Fermi energy ... 1.736 states/eV/f.u.
V ... 128 Å³/f.u.
Raw total energy ... -3.60 eV per atom
E above lowest polymorph ... 0.00 eV/f.u.
Symmetry ... P4/mmm

abc: 3.973 3.973 8.096
angles: 90.00 90.00 90.00
Atoms (fractional coordinates):
I1 0.000 0.000 0.500
B1 0.500 0.500 0.500
Te1 0.000 0.000 0.000
N1 0.000 0.500 0.000
N2 0.500 0.000 0.000



# 11
First-principles (GGA-PBE) data for a geometry-optimized Tb6Ho2Hg structure, as listed in the Alexandria database.

DOS at the Fermi energy ... 10.290 states/eV/f.u.
V ... 279 Å³/f.u.
Raw total energy ... -4.14 eV per atom
Energy of formation ... 0.00 eV per atom
Symmetry ... Immm

abc: 3.536 10.110 9.464
angles: 122.29 100.77 90.00
Atoms (fractional coordinates):
Tb1 0.179 0.340 0.358
Tb2 0.821 0.981 0.642
Tb3 0.821 0.660 0.642
Tb4 0.500 0.287 0.000
Tb5 0.179 0.019 0.358
Tb6 0.500 0.713 0.000
Ho1 0.149 0.649 0.297
Ho2 0.851 0.351 0.703
Hg1 0.000 0.000 0.000



# 12
First-principles (GGA-PBE) data for a geometry-optimized LaTh2Ge6 structure, as listed in the Alexandria database.

DOS at the Fermi energy ... 6.938 states/eV/f.u.
V ... 211 Å³/f.u.
Raw total energy ... -5.84 eV per atom
Energy of formation ... -0.56 eV per atom
Symmetry ... P6/mmm

abc: 4.128 7.678 7.678
angles: 120.00 90.00 90.00
Atoms (fractional coordinates):
La1 0.000 0.000 0.000
Th1 0.000 0.333 0.667
Th2 0.000 0.667 0.333
Ge1 0.500 0.335 0.335
Ge2 0.500 0.665 0.665
Ge3 0.500 0.000 0.665
Ge4 0.500 0.665 0.000
Ge5 0.500 0.335 0.000
Ge6 0.500 0.000 0.335



# 13
First-principles (GGA-PBE) data for a geometry-optimized LaSmGa2Ru2 structure, as listed in the Alexandria database.

DOS at the Fermi energy ... 3.494 states/eV/f.u.
V ... 130 Å³/f.u.
Raw total energy ... -6.16 eV per atom
Energy of formation ... -0.45 eV per atom
Symmetry ... P-3m1

abc: 4.331 4.331 7.984
angles: 90.00 90.00 120.00
Atoms (fractional coordinates):
La1 0.000 0.000 0.000
Sm1 0.000 0.000 0.500
Ga1 0.667 0.333 0.737
Ga2 0.333 0.667 0.263
Ru1 0.667 0.333 0.258
Ru2 0.333 0.667 0.742



# 14
First-principles (GGA-PBE) data for a geometry-optimized CaZrGe2 structure, as listed in the Alexandria database.

DOS at the Fermi energy ... 2.402 states/eV/f.u.
V ... 114 Å³/f.u.
Raw total energy ... -4.96 eV per atom
Energy of formation ... -0.01 eV per atom
Symmetry ... I-42d

abc: 5.016 5.016 9.728
angles: 75.06 75.06 90.00
Atoms (fractional coordinates):
Ge1 0.755 0.125 0.250
Ge2 0.995 0.625 0.250
Ge3 0.375 0.245 0.750
Ge4 0.875 0.005 0.750
Ca1 0.500 0.500 0.000
Ca2 0.250 0.750 0.500
Zr1 0.000 0.000 0.000
Zr2 0.750 0.250 0.500



# 15
First-principles (GGA-PBE) data for a geometry-optimized ScTeI2Br structure, as listed in the Alexandria database.

Uncorrected formation energy ... -0.458 eV/atom
DOS at the Fermi energy ... 4.867 states/eV/f.u.
V ... 182 Å³/f.u.
Raw total energy ... -3.31 eV per atom
E above lowest polymorph ... 0.00 eV/f.u.
Symmetry ... P4/mmm

abc: 5.569 5.569 5.868
angles: 90.00 90.00 90.00
Atoms (fractional coordinates):
I1 0.000 0.500 0.000
I2 0.500 0.000 0.000
Sc1 0.000 0.000 0.000
Te1 0.000 0.000 0.500
Br1 0.500 0.500 0.500



# 16
First-principles (GGA-PBE) data for a geometry-optimized K2RbLiPb structure, as listed in the Alexandria database.

DOS at the Fermi energy ... 2.307 states/eV/f.u.
V ... 269 Å³/f.u.
Raw total energy ... -1.77 eV per atom
Energy of formation ... -0.01 eV per atom
E above lowest polymorph ... 0.03 eV/f.u.
Symmetry ... P4/mmm

abc: 6.926 6.926 5.602
angles: 90.00 90.00 90.00
Atoms (fractional coordinates):
Pb1 0.000 0.000 0.000
K1 0.000 0.500 0.000
K2 0.500 0.000 0.000
Rb1 0.500 0.500 0.500
Li1 0.000 0.000 0.500



# 17
First-principles (GGA-PBE) data for a geometry-optimized Nd2Sm3Dy6Er structure, as listed in the Alexandria database.

DOS at the Fermi energy ... 14.765 states/eV/f.u.
V ... 390 Å³/f.u.
Raw total energy ... -4.64 eV per atom
Energy of formation ... 0.01 eV per atom
Symmetry ... C2/m

abc: 6.207 6.207 11.850
angles: 94.99 94.99 119.97
Atoms (fractional coordinates):
Nd1 0.334 0.666 0.000
Nd2 0.666 0.334 0.000
Sm1 0.167 0.833 0.500
Sm2 0.833 0.167 0.500
Sm3 0.500 0.500 0.500
Dy1 0.917 0.584 0.750
Dy2 0.751 0.751 0.250
Dy3 0.083 0.416 0.250
Dy4 0.584 0.917 0.750
Dy5 0.249 0.249 0.750
Dy6 0.416 0.083 0.250
Er1 0.000 0.000 0.000



# 18
First-principles (GGA-PBE) data for a geometry-optimized BaTlTcBi2 structure, as listed in the Alexandria database.

DOS at the Fermi energy ... 8.026 states/eV/f.u.
V ... 217 Å³/f.u.
Raw total energy ... -3.29 eV per atom
Energy of formation ... 1.19 eV per atom
Symmetry ... P4/mmm

abc: 5.821 6.390 5.821
angles: 90.00 90.00 90.00
Each line ends with the local moment (μB).
Atoms (fractional coordinates):
Tc1 0.500 0.500 0.500  3.61
Tl1 0.000 0.000 0.000  0.00
Bi1 0.000 0.000 0.500  -0.01
Bi2 0.500 0.000 0.000  -0.03
Ba1 0.000 0.500 0.000  -0.02



# 19
First-principles (GGA-PBE) data for a geometry-optimized Nd5HoBi5 structure, as listed in the Alexandria database.

DOS at the Fermi energy ... 6.380 states/eV/f.u.
V ... 396 Å³/f.u.
Raw total energy ... -5.09 eV per atom
Energy of formation ... -0.74 eV per atom
Symmetry ... C2/m

abc: 6.435 7.859 9.064
angles: 107.00 90.00 114.17
Atoms (fractional coordinates):
Nd1 0.670 0.339 0.334
Nd2 0.663 0.326 0.828
Nd3 0.000 0.000 0.500
Nd4 0.337 0.674 0.172
Nd5 0.330 0.661 0.666
Ho1 0.000 0.000 0.000
Bi1 0.834 0.668 0.163
Bi2 0.836 0.672 0.670
Bi3 0.500 0.000 0.000
Bi4 0.164 0.328 0.330
Bi5 0.166 0.332 0.837



# 20
First-principles (GGA-PBE) data for a geometry-optimized TbSmPb6 structure, as listed in the Alexandria database.

DOS at the Fermi energy ... 4.101 states/eV/f.u.
V ... 235 Å³/f.u.
Raw total energy ... -4.27 eV per atom
Energy of formation ... -0.32 eV per atom
Symmetry ... P4/mmm

abc: 4.896 4.896 9.792
angles: 90.00 90.00 90.00
Atoms (fractional coordinates):
Tb1 0.000 0.000 0.500
Sm1 0.000 0.000 0.000
Pb1 0.500 0.500 0.000
Pb2 0.500 0.500 0.500
Pb3 0.500 0.000 0.252
Pb4 0.500 0.000 0.748
Pb5 0.000 0.500 0.252
Pb6 0.000 0.500 0.748



# 21
First-principles (GGA-PBE) data for a geometry-optimized Na2NF structure, as listed in the Alexandria database.

Uncorrected formation energy ... -0.469 eV/atom
DOS at the Fermi energy ... 4.989 states/eV/f.u.
V ... 54 Å³/f.u.
Raw total energy ... -3.68 eV per atom
E above lowest polymorph ... 0.45 eV/f.u.
Symmetry ... Fm-3m

abc: 4.231 4.231 4.231
angles: 60.00 60.00 60.00
Each line ends with the local moment (μB).
Atoms (fractional coordinates):
Na1 0.250 0.250 0.250  0.00
Na2 0.750 0.750 0.750  0.00
N1 0.000 0.000 0.000  1.23
F1 0.500 0.500 0.500  0.10



# 22
First-principles (GGA-PBE) data for a geometry-optimized TaAsSe2Br structure, as listed in the Alexandria database.

Uncorrected formation energy ... 0.226 eV/atom
DOS at the Fermi energy ... 2.708 states/eV/f.u.
V ... 133 Å³/f.u.
Raw total energy ... -4.80 eV per atom
E above lowest polymorph ... 1.02 eV/f.u.
Symmetry ... P4/mmm

abc: 5.053 5.053 5.201
angles: 90.00 90.00 90.00
Each line ends with the local moment (μB).
Atoms (fractional coordinates):
As1 0.500 0.500 0.500  1.01
Se1 0.000 0.500 0.000  -0.04
Se2 0.500 0.000 0.000  -0.04
Br1 0.000 0.000 0.500  0.04
Ta1 0.000 0.000 0.000  0.35



# 23
First-principles (GGA-PBE) data for a geometry-optimized ZnCu2Rh structure, as listed in the Alexandria database.

DOS at the Fermi energy ... 1.805 states/eV/f.u.
V ... 52 Å³/f.u.
Raw total energy ... -4.31 eV per atom
Energy of formation ... -0.11 eV per atom
Symmetry ... C2/m

abc: 4.814 4.814 4.141
angles: 68.16 68.16 36.44
Atoms (fractional coordinates):
Zn1 0.250 0.250 0.250
Rh1 0.750 0.750 0.750
Cu1 0.994 0.994 0.006
Cu2 0.506 0.506 0.494



# 24
First-principles (GGA-PBE) data for a geometry-optimized Y12Ni6Pd structure, as listed in the Alexandria database.

DOS at the Fermi energy ... 25.558 states/eV/f.u.
V ... 452 Å³/f.u.
Raw total energy ... -6.53 eV per atom
Energy of formation ... -0.35 eV per atom
Symmetry ... Im-3

abc: 8.373 8.373 8.373
angles: 109.47 109.47 109.47
Atoms (fractional coordinates):
Y1 0.301 0.115 0.815
Y2 0.301 0.486 0.185
Y3 0.699 0.514 0.815
Y4 0.699 0.885 0.185
Y5 0.115 0.815 0.301
Y6 0.486 0.185 0.301
Y7 0.514 0.815 0.699
Y8 0.885 0.185 0.699
Y9 0.815 0.301 0.115
Y10 0.185 0.301 0.486
Y11 0.815 0.699 0.514
Y12 0.185 0.699 0.885
Ni1 0.375 0.500 0.875
Ni2 0.625 0.500 0.125
Ni3 0.500 0.875 0.375
Ni4 0.500 0.125 0.625
Ni5 0.875 0.375 0.500
Ni6 0.125 0.625 0.500
Pd1 0.000 0.000 0.000



# 25
First-principles (GGA-PBE) data for a geometry-optimized Zn6RuAu structure, as listed in the Alexandria database.

DOS at the Fermi energy ... 5.897 states/eV/f.u.
V ... 139 Å³/f.u.
Raw total energy ... -2.27 eV per atom
Energy of formation ... 0.25 eV per atom
Symmetry ... R-3m

abc: 5.192 5.192 5.192
angles: 85.71 85.71 85.71
Each line ends with the local moment (μB).
Atoms (fractional coordinates):
Zn1 0.162 0.529 0.162  0.00
Zn2 0.162 0.162 0.529  0.00
Zn3 0.838 0.471 0.838  0.00
Zn4 0.471 0.838 0.838  0.00
Zn5 0.838 0.838 0.471  0.00
Zn6 0.529 0.162 0.162  0.00
Ru1 0.500 0.500 0.500  0.24
Au1 0.000 0.000 0.000  0.01